(1)
An optimized crystal structure of Np2GeSe5. Source: the Alexandria database, functional PBE-GGA.

Structure (POSCAR):
```
Np2GeSe5
1.0
5.590 0.000 0.000
-2.795 6.605 0.000
0.000 0.000 13.577
Np Ge Se
4 2 10
Cartesian
2.795 4.648 5.946
2.795 4.648 0.842
0.000 1.957 7.631
0.000 1.957 12.735
2.795 3.948 10.183
0.000 2.658 3.394
2.795 5.919 11.963
2.795 5.919 8.403
0.000 4.289 5.976
0.000 4.289 0.812
2.795 3.330 3.394
0.000 3.275 10.183
2.795 2.316 7.601
2.795 2.316 12.765
0.000 0.686 1.614
0.000 0.686 5.174
```

Polymorph energy (0 for the lowest one) ... 66 meV/atom


(2)
An optimized crystal structure of Sr2NpGeSe5. Source: the Alexandria database, functional PBE-GGA.

Structure (POSCAR):
```
Sr2NpGeSe5
1.0
-0.407 -0.863 -4.239
8.170 -3.989 2.255
-6.144 -10.985 2.827
Sr Np Ge Se
4 2 2 10
Cartesian
0.755 -12.630 0.273
-2.466 -8.385 1.945
0.121 -4.537 0.912
4.976 -5.862 -1.511
1.195 -8.699 -0.570
3.245 -2.095 0.115
-5.327 -11.249 0.576
4.501 -8.961 1.393
-0.299 -14.199 2.921
-2.706 -11.643 0.404
3.198 -12.757 2.291
0.383 -9.833 1.966
3.399 -10.518 -0.411
-1.129 -7.086 -0.675
2.786 -6.948 1.148
-1.738 -3.365 -1.375
2.239 -4.211 -1.584
0.532 -1.186 0.190
```


(3)
An optimized crystal structure of NpTl3Ge2Se6. Source: the Alexandria database, functional PBE-GGA.

Structure (POSCAR):
```
NpTl3Ge2Se6
1.0
7.194 0.004 0.005
-3.592 6.233 0.005
-1.196 -2.071 7.552
Np Tl Ge Se
1 3 2 6
Cartesian
0.000 0.000 0.000
-2.369 4.146 3.781
4.775 0.020 3.781
1.203 2.083 3.781
0.001 4.158 0.005
3.601 2.079 0.005
3.575 2.143 6.083
2.436 4.217 1.517
-1.169 2.023 1.479
0.070 4.168 6.083
-0.029 -0.051 6.046
2.337 -0.001 1.479
```


(4)
An optimized crystal structure of NpTl2GeSe4. Source: the Alexandria database, functional PBE-GGA.

Structure (POSCAR):
```
NpTl2GeSe4
1.0
4.187 0.000 0.000
0.000 7.949 -0.441
0.000 2.518 6.803
Np Tl Ge Se
1 2 1 4
Cartesian
0.000 5.233 3.181
0.000 2.518 6.803
2.094 1.259 3.401
2.094 6.492 6.583
0.000 7.460 4.877
4.187 3.007 1.485
2.094 6.238 1.515
2.094 4.228 4.847
```


(5)
An optimized crystal structure of NpSi2Ge. Source: the Alexandria database, functional PBE-GGA.

Structure (POSCAR):
```
NpSi2Ge
1.0
-3.182 1.368 3.374
-3.019 -3.245 1.933
0.387 -1.354 4.378
Np Ge Si
1 1 2
Cartesian
-2.907 -1.615 4.843
0.000 0.000 0.000
-1.382 -0.829 2.497
-4.432 -2.402 7.189
```

Polymorph energy (0 for the lowest one) ... 485 meV/atom


(6)
An optimized crystal structure of NpSiGe. Source: the Alexandria database, functional PBE-GGA.

Structure (POSCAR):
```
NpSiGe
1.0
-0.648 -3.699 -1.745
4.205 -3.630 1.218
-2.968 -3.421 3.440
Np Si Ge
2 2 2
Cartesian
0.151 -2.695 0.742
0.438 -8.055 2.171
3.085 -3.597 1.565
-1.847 -3.454 3.093
1.542 -5.411 1.070
-0.952 -5.339 1.842
```

Polymorph energy (0 for the lowest one) ... 0 meV/atom


(7)
An optimized crystal structure of NpSiGe. Source: the Alexandria database, functional PBE-GGA.

Structure (POSCAR):
```
NpSiGe
1.0
-2.879 -2.996 -2.135
0.318 -1.210 4.501
-4.429 3.384 1.223
Np Ge Si
2 2 2
Cartesian
-5.122 0.144 1.021
-1.868 -0.967 2.568
-3.917 0.817 3.522
-3.072 -1.640 0.068
0.000 0.000 0.000
-2.214 1.692 0.612
```

Polymorph energy (0 for the lowest one) ... 129 meV/atom


(8)
An optimized crystal structure of Np2Si2Ge3. Source: the Alexandria database, functional PBE-GGA.

Structure (POSCAR):
```
Np2Si2Ge3
1.0
6.787 0.000 -2.400
-3.394 5.878 -2.400
0.000 0.000 7.199
Np Si Ge
4 4 6
Cartesian
0.000 0.000 3.625
1.685 2.960 1.191
-0.012 5.857 3.591
-1.673 2.939 -1.208
0.000 0.000 6.357
0.397 5.190 0.281
-1.300 3.627 2.680
0.903 2.939 -2.119
2.548 4.409 -3.597
4.239 1.470 1.198
5.937 1.467 -1.198
2.547 1.472 3.597
1.695 0.003 1.202
3.395 2.936 -1.202
```


(9)
An optimized crystal structure of Np2SiGe. Source: the Alexandria database, functional PBE-GGA.

Structure (POSCAR):
```
Np2SiGe
1.0
-2.110 -3.757 1.865
3.024 -0.617 2.178
-1.498 2.180 2.697
Np Ge Si
2 1 1
Cartesian
-0.749 1.090 1.349
1.512 -0.308 1.089
-0.292 -1.097 3.370
-1.055 -1.878 0.933
```


(10)
An optimized crystal structure of NpSi2Ge. Source: the Alexandria database, functional PBE-GGA.

Structure (POSCAR):
```
NpSi2Ge
1.0
-2.251 3.319 0.601
-1.811 -1.809 3.208
2.893 1.512 2.486
Np Ge Si
1 1 2
Cartesian
-0.584 1.511 3.147
-1.126 1.659 0.300
1.447 0.756 1.243
-0.905 -0.904 1.604
```

Polymorph energy (0 for the lowest one) ... 0 meV/atom


(11)
An optimized crystal structure of Np2SiGe. Source: the Alexandria database, functional PBE-GGA.

Structure (POSCAR):
```
Np2SiGe
1.0
2.674 0.000 0.000
0.000 2.674 0.000
0.000 0.000 9.413
Np Ge Si
2 1 1
Cartesian
0.000 0.000 7.162
0.000 0.000 2.250
1.337 1.337 4.706
1.337 1.337 0.000
```


(12)
An optimized crystal structure of NpSiGe. Source: the Alexandria database, functional PBE-GGA.

Structure (POSCAR):
```
NpSiGe
1.0
2.517 0.000 0.000
0.000 4.773 0.000
0.000 -2.387 4.134
Np Ge Si
1 1 1
Cartesian
2.517 0.000 0.000
1.259 2.387 1.378
1.258 0.000 2.756
```

Polymorph energy (0 for the lowest one) ... 148 meV/atom


| no. | E_form (uncorrected) (meV/atom) | DOS(E_F) (states/eV/f.u.) | raw total energy (eV/atom) |
| --- | --- | --- | --- |
| 1 | -773.7 | 17.7 | -6.764 |
| 2 | -1266.3 | 8.8 | -5.527 |
| 3 | -526.3 | 8.1 | -4.708 |
| 4 | -630.6 | 7.4 | -5.159 |
| 5 | 284.1 | 7.0 | -6.817 |
| 6 | -139.0 | 5.3 | -7.799 |
| 7 | -10.4 | 9.0 | -7.671 |
| 8 | 143.3 | 16.8 | -7.082 |
| 9 | 84.3 | 6.1 | -8.896 |
| 10 | -201.4 | 7.9 | -7.302 |
| 11 | 67.6 | 6.9 | -8.913 |
| 12 | 9.0 | 3.1 | -7.651 |